A plane-wave DFT calculation with PBE-GGA was carried out for an optimized crystal structure of AcCeNbN4.

Unit cell a=5.7527 b=5.8417 c=7.1048 alpha=90.00 beta=113.88 gamma=90.00
Closest atoms and distances in Å follow each position.
Sites, in units of the cell vectors:
Nb 0.2664 0.7500 0.5328  5 N 1.94-2.06
Nb 0.7336 0.2500 0.4672  5 N 1.94-2.06
N 0.5000 0.5000 0.5000  2 Nb 2.06
N 0.5000 0.0000 0.5000  2 Nb 2.06
N 0.5843 0.2500 0.1686  1 Nb 1.94
N 0.0000 0.5000 0.5000  2 Nb 2.06
N 0.0000 0.0000 0.5000  2 Nb 2.06
N 0.0570 0.7500 0.1140  1 Ce 2.08
N 0.9430 0.2500 0.8860  1 Ce 2.08
N 0.4157 0.7500 0.8314  1 Nb 1.94
Ce 0.8972 0.7500 0.7944  1 N 2.08
Ce 0.1028 0.2500 0.2056  1 N 2.08
Ac 0.3903 0.2500 0.7807  5 N 2.52-2.74
Ac 0.6097 0.7500 0.2193  5 N 2.52-2.74

Results
Total magnetization   0.0 μB per formula unit
ρ   7.85 Mg/m³
Energy relative to the elements, uncorrected   -1148 meV/atom

***

A plane-wave DFT calculation with PBE-GGA was carried out for an optimized crystal structure of CdTc.

Unit cell a=6.7384 b=6.7384 c=5.6772 alpha=75.65 beta=75.65 gamma=25.26
Closest atoms and distances in Å follow each position.
Sites, in units of the cell vectors:
Cd 0.6324 0.6324 0.2532  6 Cd 2.77-3.01, 4 Tc 3.02-3.05
Cd 0.6594 0.6594 0.7206  6 Cd 2.77-2.95, 4 Tc 2.93
Cd 0.9808 0.9808 0.0300  6 Tc 2.87-2.93, 6 Cd 2.95-3.01
Tc 0.3140 0.3140 0.9091  3 Tc 2.55-2.61
Tc 0.3169 0.3169 0.3565  3 Tc 2.55-2.58
Tc 0.9298 0.9298 0.5638  4 Tc 2.58-2.61

Results
Total magnetization   0.0 μB per formula unit
E   -5.303 eV/atom
ρ   9.85 Mg/m³

***

A plane-wave DFT calculation with PBE-GGA was carried out for an optimized crystal structure of AlSnRuRh.

Unit cell a=4.4237 b=4.4237 c=4.4237 alpha=60.00 beta=60.00 gamma=60.00
Closest atoms and distances in Å follow each position.
Sites, in units of the cell vectors:
Ru 0.7500 0.7500 0.7500  4 Al 2.71, 4 Sn 2.71
Al 0.5000 0.5000 0.5000  4 Ru 2.71, 4 Rh 2.71
Rh 0.2500 0.2500 0.2500  4 Sn 2.71, 4 Al 2.71
Sn 0.0000 0.0000 0.0000  4 Ru 2.71, 4 Rh 2.71

Results
Total magnetization   0.0 μB per formula unit
E   -6.623 eV/atom
ρ   9.49 Mg/m³

***

A plane-wave DFT calculation with PBE-GGA was carried out for an optimized crystal structure of BiTeIO3.

Unit cell a=4.8028 b=4.8028 c=24.4763 alpha=90.00 beta=90.00 gamma=90.00
Closest atoms and distances in Å follow each position.
Sites, in units of the cell vectors:
Bi 0.5000 0.0000 0.9822  4 O 2.44
Bi 0.5000 0.0000 0.3006  4 O 2.42
Bi 0.0000 0.5000 0.6994  4 O 2.42
Bi 0.0000 0.5000 0.0178  4 O 2.44
I 0.0000 0.5000 0.5755  1 Bi 3.03, 4 Te 3.40
I 0.0000 0.5000 0.8946  1 Bi 3.01
I 0.5000 0.0000 0.4245  1 Bi 3.03, 4 Te 3.40
I 0.5000 0.0000 0.1054  1 Bi 3.01
O 0.5000 0.5000 0.7110  1 O 1.43
O 0.0000 0.0000 0.2890  1 O 1.43
O 0.5000 0.5000 0.0000  4 Bi 2.44
O 0.5000 0.5000 0.2305  1 O 1.43
O 0.0000 0.0000 0.7110  1 O 1.43
O 0.0000 0.0000 0.0000  4 Bi 2.44
O 0.0000 0.5000 0.2852  1 Te 1.79
O 0.5000 0.5000 0.7695  1 O 1.43
O 0.5000 0.5000 0.2890  1 O 1.43
O 0.5000 0.0000 0.7148  1 Te 1.79
O 0.0000 0.0000 0.2305  1 O 1.43
O 0.0000 0.0000 0.7695  1 O 1.43
Te 0.5000 0.0000 0.7878  1 O 1.79
Te 0.0000 0.5000 0.4264  5 I 3.40-3.65, 1 O 3.46
Te 0.5000 0.0000 0.5736  5 I 3.40-3.65, 1 O 3.46
Te 0.0000 0.5000 0.2122  1 O 1.79

Results
Total magnetization   0.0 μB per formula unit
ρ   6.02 Mg/m³
Energy relative to the elements, uncorrected   -201 meV/atom